1.
CaErCr2O8 | PBE+U | optimized geometry

The structure belongs to space group I-4m2 (No. 119); the cell edges are 7.213, 7.213 and 6.289 Å and the angles 90.00°, 90.00° and 90.00°. The asymmetric unit holds Ca at (0.000, 0.000, 0.000), Er at (0.000, 0.500, 0.250), Cr at (0.000, 0.000, 0.500), Cr at (0.000, 0.500, 0.750), O at (0.000, 0.191, 0.334) and O at (0.000, 0.321, 0.916).

For the total energy, the calculation gives -173.81 eV for the cell shown. The density of states at the Fermi level is 0.0411 states/eV/atom.

---

2.
CaCr2F | PBE+U | optimized geometry

The structure belongs to space group I4_1/amd (No. 141, origin choice 2); the cell edges are 6.668, 6.668 and 9.547 Å and the angles 90.00°, 90.00° and 90.00°. The asymmetric unit holds Ca at (0.000, 0.250, 0.375), Cr at (0.000, 0.000, 0.000) and F at (0.000, 0.250, 0.875).

For the total energy, the calculation gives -79.54 eV for the cell shown. The density of states at the Fermi level is 0.8509 states/eV/atom. The calculation puts the energy above the lowest structure with this stoichiometry at 0.000 eV/atom.

---

3.
CaCrF5 | PBE+U | optimized geometry

The structure belongs to space group P2_1/c (No. 14); the cell edges are 5.550, 10.253 and 7.645 Å and the angles 90.00°, 109.87° and 90.00°. The asymmetric unit holds Ca at (0.029, 0.019, 0.254), Cr at (0.394, 0.247, 0.600), F at (0.113, 0.119, 0.556), F at (0.146, 0.112, 0.006), F at (0.328, 0.636, 0.360), F at (0.360, 0.202, 0.341) and F at (0.375, 0.605, 0.809).

For the total energy, the calculation gives -166.78 eV for the cell shown. The density of states at the Fermi level is 0.0000 states/eV/atom. The calculation puts the energy above the lowest structure with this stoichiometry at 0.003 eV/atom.